(1)
## AcCeGe2 (GGA-PBE)

Data for a relaxed structure of AcCeGe2.

Calculated values
Its formation energy is -0.586 eV per atom.

Cell and atoms, written as CIF:
```
data_AcCeGe2
_cell_length_a 4.4911
_cell_length_b 4.4911
_cell_length_c 20.8788
_cell_angle_alpha 90.00
_cell_angle_beta 90.00
_cell_angle_gamma 120.00
_space_group_name_H-M_alt 'R -3 m'
_space_group_IT_number 166
_space_group_name_Hall '-R 3 2"'
loop_
_atom_site_label
_atom_site_type_symbol
_atom_site_fract_x
_atom_site_fract_y
_atom_site_fract_z
Ac1 Ac 0.0000 0.0000 0.0000
Ce1 Ce 0.0000 0.0000 0.5000
Ge1 Ge 0.0000 0.0000 0.2379
```



(2)
## Ac12CeGe7 (GGA-PBE)

Data for a relaxed structure of Ac12CeGe7.

Calculated values
Its formation energy is -0.402 eV per atom.

Cell and atoms, written as CIF:
```
data_Ac12CeGe7
_cell_length_a 15.9800
_cell_length_b 15.9800
_cell_length_c 10.8764
_cell_angle_alpha 90.00
_cell_angle_beta 90.00
_cell_angle_gamma 120.00
_space_group_name_H-M_alt 'R -3'
_space_group_IT_number 148
_space_group_name_Hall '-R 3'
loop_
_atom_site_label
_atom_site_type_symbol
_atom_site_fract_x
_atom_site_fract_y
_atom_site_fract_z
Ac1 Ac 0.0255 0.5891 0.1636
Ac2 Ac 0.0491 0.1778 0.8298
Ce1 Ce 0.0000 0.0000 0.5000
Ge1 Ge 0.0000 0.0000 0.0000
Ge2 Ge 0.0493 0.1761 0.3391
```



(3)
## AcCeGe3 (GGA-PBE)

Data for a relaxed structure of AcCeGe3.

Calculated values
Its formation energy is -0.654 eV per atom.

Cell and atoms, written as CIF:
```
data_AcCeGe3
_cell_length_a 4.515
_cell_length_b 27.362
_cell_length_c 4.169
_cell_angle_alpha 90.00
_cell_angle_beta 90.00
_cell_angle_gamma 90.00
_space_group_name_H-M_alt 'C m c m'
_space_group_IT_number 63
_space_group_name_Hall '-C 2c 2'
loop_
_atom_site_label
_atom_site_type_symbol
_atom_site_fract_x
_atom_site_fract_y
_atom_site_fract_z
Ac1 Ac 0.000 0.073 0.250
Ce1 Ce 0.000 0.203 0.750
Ge1 Ge 0.000 0.314 0.750
Ge2 Ge 0.000 0.373 0.250
Ge3 Ge 0.000 0.473 0.250
```



(4)
## Ac5CeGe6 (GGA-PBE)

Data for a relaxed structure of Ac5CeGe6.

Calculated values
Its formation energy is -0.544 eV per atom.

Cell and atoms, written as CIF:
```
data_Ac5CeGe6
_cell_length_a 7.798
_cell_length_b 13.689
_cell_length_c 7.879
_cell_angle_alpha 90.00
_cell_angle_beta 109.87
_cell_angle_gamma 90.00
_space_group_name_H-M_alt 'C 1 2/m 1'
_space_group_IT_number 12
_space_group_name_Hall '-C 2y'
loop_
_atom_site_label
_atom_site_type_symbol
_atom_site_fract_x
_atom_site_fract_y
_atom_site_fract_z
Ac1 Ac 0.000 0.000 0.000
Ac2 Ac 0.000 0.165 0.500
Ac3 Ac 0.000 0.327 0.000
Ce1 Ce 0.000 0.500 0.500
Ge1 Ge 0.226 0.500 0.258
Ge2 Ge 0.233 0.344 0.735
```



(5)
## Ac3CeGe4 (GGA-PBE)

Data for a relaxed structure of Ac3CeGe4.

Calculated values
Its formation energy is -0.595 eV per atom.

Cell and atoms, written as CIF:
```
data_Ac3CeGe4
_cell_length_a 4.614
_cell_length_b 6.640
_cell_length_c 16.747
_cell_angle_alpha 90.00
_cell_angle_beta 90.00
_cell_angle_gamma 90.00
_space_group_name_H-M_alt 'I m m m'
_space_group_IT_number 71
_space_group_name_Hall '-I 2 2'
loop_
_atom_site_label
_atom_site_type_symbol
_atom_site_fract_x
_atom_site_fract_y
_atom_site_fract_z
Ac1 Ac 0.000 0.000 0.000
Ac2 Ac 0.000 0.500 0.193
Ce1 Ce 0.000 0.000 0.500
Ge1 Ge 0.000 0.308 0.374
```



(6)
## AcCe2Ge3 (GGA-PBE)

Data for a relaxed structure of AcCe2Ge3.

Calculated values
Its formation energy is -0.618 eV per atom.

Cell and atoms, written as CIF:
```
data_AcCe2Ge3
_cell_length_a 4.656
_cell_length_b 9.755
_cell_length_c 7.202
_cell_angle_alpha 90.00
_cell_angle_beta 90.00
_cell_angle_gamma 90.00
_space_group_name_H-M_alt 'P m c 21'
_space_group_IT_number 26
_space_group_name_Hall 'P 2c -2'
loop_
_atom_site_label
_atom_site_type_symbol
_atom_site_fract_x
_atom_site_fract_y
_atom_site_fract_z
Ac1 Ac 0.000 0.096 0.000
Ce1 Ce 0.000 0.285 0.515
Ce2 Ce 0.500 0.480 0.228
Ge1 Ge 0.000 0.413 0.959
Ge2 Ge 0.500 0.126 0.678
Ge3 Ge 0.500 0.140 0.319
```



(7)
## AcCeGe (GGA-PBE)

Data for a relaxed structure of AcCeGe.

Calculated values
Its formation energy is -0.566 eV per atom. For the excess energy over the best structure of this formula in the dataset, the calculation gives 0.000 eV per atom.

Cell and atoms, written as CIF:
```
data_AcCeGe
_cell_length_a 4.491
_cell_length_b 4.491
_cell_length_c 8.822
_cell_angle_alpha 90.00
_cell_angle_beta 90.00
_cell_angle_gamma 90.00
_space_group_name_H-M_alt 'P 4/n m m'
_space_group_IT_number 129
loop_
_space_group_symop_operation_xyz
'x,y,z'
'-x,-y,-z'
'-y+1/2,x,z'
'y+1/2,-x,-z'
'-x+1/2,-y+1/2,z'
'x+1/2,y+1/2,-z'
'y,-x+1/2,z'
'-y,x+1/2,-z'
'x+1/2,-y,-z'
'-x+1/2,y,z'
'-y,-x,-z'
'y,x,z'
'-x,y+1/2,-z'
'x,-y+1/2,z'
'y+1/2,x+1/2,-z'
'-y+1/2,-x+1/2,z'
loop_
_atom_site_label
_atom_site_type_symbol
_atom_site_fract_x
_atom_site_fract_y
_atom_site_fract_z
Ac1 Ac 0.250 0.250 0.141
Ce1 Ce 0.250 0.750 0.500
Ge1 Ge 0.250 0.250 0.749
```



(8)
## Ac2Ce2Ge3 (GGA-PBE)

Data for a relaxed structure of Ac2Ce2Ge3.

Calculated values
Its formation energy is -0.520 eV per atom.

Cell and atoms, written as CIF:
```
data_Ac2Ce2Ge3
_cell_length_a 4.328
_cell_length_b 7.466
_cell_length_c 7.707
_cell_angle_alpha 97.89
_cell_angle_beta 90.03
_cell_angle_gamma 106.82
_space_group_name_H-M_alt 'P -1'
_space_group_IT_number 2
_space_group_name_Hall '-P 1'
loop_
_atom_site_label
_atom_site_type_symbol
_atom_site_fract_x
_atom_site_fract_y
_atom_site_fract_z
Ac1 Ac 0.127 0.252 0.374
Ce1 Ce 0.372 0.743 0.104
Ge1 Ge 0.000 0.000 0.000
Ge2 Ge 0.241 0.483 0.762
```



(9)
## Ac3CeGe3 (GGA-PBE)

Data for a relaxed structure of Ac3CeGe3.

Calculated values
Its formation energy is -0.480 eV per atom.

Cell and atoms, written as CIF:
```
data_Ac3CeGe3
_cell_length_a 9.5753
_cell_length_b 9.5753
_cell_length_c 6.3975
_cell_angle_alpha 90.00
_cell_angle_beta 90.00
_cell_angle_gamma 120.00
_space_group_name_H-M_alt 'P 63/m'
_space_group_IT_number 176
_space_group_name_Hall '-P 6c'
loop_
_atom_site_label
_atom_site_type_symbol
_atom_site_fract_x
_atom_site_fract_y
_atom_site_fract_z
Ac1 Ac 0.0332 0.6983 0.2500
Ce1 Ce 0.3333 0.6667 0.7500
Ge1 Ge 0.0240 0.6640 0.7500
```



(10)
## AcCe2Ge6 (GGA-PBE)

Data for a relaxed structure of AcCe2Ge6.

Calculated values
Its formation energy is -0.555 eV per atom. For the excess energy over the best structure of this formula in the dataset, the calculation gives 0.000 eV per atom.

Cell and atoms, written as CIF:
```
data_AcCe2Ge6
_cell_length_a 7.6727
_cell_length_b 7.6727
_cell_length_c 4.2074
_cell_angle_alpha 90.00
_cell_angle_beta 90.00
_cell_angle_gamma 120.00
_space_group_name_H-M_alt 'P 6/m m m'
_space_group_IT_number 191
_space_group_name_Hall '-P 6 2'
loop_
_atom_site_label
_atom_site_type_symbol
_atom_site_fract_x
_atom_site_fract_y
_atom_site_fract_z
Ac1 Ac 0.0000 0.0000 0.0000
Ce1 Ce 0.3333 0.6667 0.0000
Ge1 Ge 0.0000 0.3388 0.5000
```



(11)
## Ac5Ce5Ge6 (GGA-PBE)

Data for a relaxed structure of Ac5Ce5Ge6.

Calculated values
Its formation energy is -0.577 eV per atom.

Cell and atoms, written as CIF:
```
data_Ac5Ce5Ge6
_cell_length_a 6.491
_cell_length_b 15.861
_cell_length_c 9.320
_cell_angle_alpha 90.00
_cell_angle_beta 90.00
_cell_angle_gamma 90.00
_space_group_name_H-M_alt 'A m m 2'
_space_group_IT_number 38
_space_group_name_Hall 'A 2 -2'
loop_
_atom_site_label
_atom_site_type_symbol
_atom_site_fract_x
_atom_site_fract_y
_atom_site_fract_z
Ac1 Ac 0.000 0.000 0.000
Ac2 Ac 0.000 0.128 0.607
Ac3 Ac 0.500 0.130 0.865
Ce1 Ce 0.256 0.165 0.238
Ce2 Ce 0.500 0.000 0.461
Ge1 Ge 0.000 0.000 0.346
Ge2 Ge 0.000 0.198 0.933
Ge3 Ge 0.500 0.000 0.131
Ge4 Ge 0.500 0.189 0.537
```



So what do the calculations give for calculated total energy? Going down the list: -0.3973; -0.3513; -0.3993; -0.3719; -0.3812; -0.4108; -0.4008; -0.3946; -0.3724; -0.3975; -0.4004 Ry per atom.